VASP calculation (PBE) on crystalline AcLaPrHg at its relaxed geometry.

Energy, eV per atom: -3.77
Total moment, μB/cell: 0.00
E above lowest polymorph, meV per atom: 0
Volume, Å³ per cell: 137.63

Lattice parameters (Å, degrees): 3.8890 3.8890 9.0995 90.00 90.00 90.00
Last column: nearest neighbours and their distance in Å.
Space group P4mm (No. 99)
Symmetry-distinct sites (fractional):
Ac  0.0000  0.0000  0.0000 [1 per cell]  4 Pr 3.78, 4 La 3.80, 4 Ac 3.89
La  0.5000  0.5000  0.7121 [1 per cell]  4 Hg 3.39
Pr  0.5000  0.5000  0.2855 [1 per cell]  4 Hg 3.34
Hg  0.0000  0.0000  0.4943 [1 per cell]  4 Pr 3.34, 4 La 3.39

=====

VASP calculation (PBE) on crystalline ReSiW2 at its relaxed geometry.

Energy, eV per atom: -10.76
Total moment, μB/cell: 0.00
E_form (uncorrected), meV per atom: 187
Volume, Å³ per cell: 120.59

Lattice parameters (Å, degrees): 3.9079 3.9079 7.8960 90.00 90.00 90.00
Last column: nearest neighbours and their distance in Å.
Space group I-4m2 (No. 119)
Symmetry-distinct sites (fractional):
Re  0.0000  0.0000  0.0000 [2 per cell]  8 W 2.76-2.78, 4 Si 2.78
Si  0.0000  0.5000  0.7500 [2 per cell]  8 W 2.76-2.78, 4 Re 2.78
W  0.0000  0.0000  0.5000 [2 per cell]  4 Re 2.76, 4 W 2.78, 4 Si 2.78
W  0.0000  0.5000  0.2500 [2 per cell]  4 Si 2.76, 4 W 2.78, 4 Re 2.78

=====

VASP calculation (PBE) on crystalline PrGa2CuNi5 at its relaxed geometry.

Energy, eV per atom: -4.80
Total moment, μB/cell: 0.00
Volume, Å³ per cell: 139.62

Lattice parameters (Å, degrees): 4.5118 4.5118 6.8585 90.00 90.00 90.00
Last column: nearest neighbours and their distance in Å.
Space group P4/mmm (No. 123)
Symmetry-distinct sites (fractional):
Pr  0.0000  0.0000  0.0000 [1 per cell]  12 Ni 3.08-3.19, 2 Cu 3.43
Ga  0.5000  0.5000  0.3267 [2 per cell]  5 Ni 2.24-2.26, 1 Ga 2.38
Cu  0.0000  0.0000  0.5000 [1 per cell]  8 Ni 2.62
Ni  0.0000  0.5000  0.3048 [4 per cell]  2 Ga 2.26
Ni  0.5000  0.5000  0.0000 [1 per cell]  2 Ga 2.24

=====

VASP calculation (PBE) on crystalline Tm2RuC at its relaxed geometry.

Energy, eV per atom: -6.59
Total moment, μB/cell: 1.17
Volume, Å³ per cell: 235.89

Lattice parameters (Å, degrees): 3.3870 3.3870 23.7432 90.00 90.00 120.00
Last column: nearest neighbours and their distance in Å.
Space group R-3m (No. 166, hexagonal axes)
Symmetry-distinct sites (fractional):
Tm  0.0000  0.0000  0.1098 [6 per cell]  3 C 2.38, 1 Ru 2.61
Ru  0.0000  0.0000  0.0000 [3 per cell]  2 Tm 2.61
C  0.0000  0.0000  0.5000 [3 per cell]  6 Tm 2.38